[1]
VASP calculation (PBE) on a relaxed structure of Tb3Zr5Pt12.

Properties
Total magnetization   0.00 μB per formula unit
Space-group type   Ia-3d, No. 230
Volume   1964.0 Å³/cell

abc: 13.6643 13.6643 13.6643
angles: 109.47 109.47 109.47
Atoms (fractional coordinates):
Tb 0.7500 0.3750 0.1250
Tb 0.8750 0.7500 0.1250
Tb 0.3750 0.7500 0.6250
Tb 0.2500 0.1250 0.3750
Tb 0.8750 0.1250 0.2500
Tb 0.3750 0.6250 0.2500
Tb 0.6250 0.3750 0.7500
Tb 0.1250 0.8750 0.7500
Tb 0.7500 0.8750 0.6250
Tb 0.6250 0.2500 0.3750
Tb 0.1250 0.2500 0.8750
Tb 0.2500 0.6250 0.8750
Zr 0.1250 0.3750 0.2500
Zr 0.0000 0.5000 0.0000
Zr 0.0000 0.0000 0.0000
Zr 0.3750 0.2500 0.1250
Zr 0.5000 0.0000 0.5000
Zr 0.5000 0.5000 0.0000
Zr 0.1250 0.7500 0.3750
Zr 0.7500 0.1250 0.8750
Zr 0.7500 0.6250 0.3750
Zr 0.3750 0.1250 0.7500
Zr 0.6250 0.8750 0.2500
Zr 0.5000 0.5000 0.5000
Zr 0.5000 0.0000 0.0000
Zr 0.0000 0.0000 0.5000
Zr 0.2500 0.3750 0.6250
Zr 0.2500 0.8750 0.1250
Zr 0.0000 0.5000 0.5000
Zr 0.8750 0.2500 0.6250
Zr 0.6250 0.7500 0.8750
Zr 0.8750 0.6250 0.7500
Pt 0.7278 0.1431 0.0632
Pt 0.3354 0.5632 0.4201
Pt 0.9368 0.3569 0.2722
Pt 0.5632 0.2278 0.1431
Pt 0.5847 0.7278 0.6646
Pt 0.9368 0.5799 0.1646
Pt 0.3354 0.7722 0.4153
Pt 0.0799 0.9153 0.1431
Pt 0.5799 0.9368 0.6646
Pt 0.7278 0.5847 0.1646
Pt 0.7722 0.4368 0.3569
Pt 0.8354 0.9201 0.0632
Pt 0.1431 0.7278 0.5632
Pt 0.3569 0.4201 0.0847
Pt 0.0847 0.9201 0.3569
Pt 0.4153 0.1431 0.5799
Pt 0.0847 0.1646 0.2278
Pt 0.4368 0.6646 0.0799
Pt 0.8354 0.9153 0.2722
Pt 0.1431 0.4153 0.0799
Pt 0.3569 0.9368 0.7722
Pt 0.5799 0.6431 0.4153
Pt 0.9201 0.8354 0.5632
Pt 0.7722 0.3354 0.9153
Pt 0.4201 0.3569 0.5847
Pt 0.0799 0.1646 0.4368
Pt 0.2278 0.6646 0.0847
Pt 0.1646 0.0847 0.7278
Pt 0.6431 0.0632 0.2278
Pt 0.8569 0.5847 0.9201
Pt 0.5632 0.3354 0.9201
Pt 0.5847 0.8569 0.4201
Pt 0.9153 0.8354 0.7722
Pt 0.9153 0.0799 0.6431
Pt 0.8569 0.2722 0.4368
Pt 0.1646 0.0799 0.9368
Pt 0.6431 0.5799 0.9153
Pt 0.4201 0.0632 0.3354
Pt 0.2722 0.4153 0.8354
Pt 0.2278 0.5632 0.6431
Pt 0.9201 0.0847 0.8569
Pt 0.6646 0.2278 0.5847
Pt 0.4368 0.7722 0.8569
Pt 0.0632 0.4201 0.8354
Pt 0.4153 0.2722 0.3354
Pt 0.0632 0.6431 0.7278
Pt 0.6646 0.4368 0.5799
Pt 0.2722 0.8569 0.9368


[2]
VASP calculation (PBE) on a relaxed structure of TbZrPt6.

Properties
Total magnetization   0.00 μB per formula unit
Space-group type   P4/mmm, No. 123
Volume   137.0 Å³/cell

abc: 4.0909 4.0909 8.1835
angles: 90.00 90.00 90.00
Atoms (fractional coordinates):
Tb 0.0000 0.0000 0.0000
Zr 0.0000 0.0000 0.5000
Pt 0.5000 0.5000 0.0000
Pt 0.5000 0.5000 0.5000
Pt 0.5000 0.0000 0.2584
Pt 0.5000 0.0000 0.7416
Pt 0.0000 0.5000 0.2584
Pt 0.0000 0.5000 0.7416


[3]
VASP calculation (PBE) on a relaxed structure of TbZrPt4.

Properties
Total magnetization   0.00 μB per formula unit
Space-group type   F-43m, No. 216
Volume   110.6 Å³/cell

abc: 5.3880 5.3880 5.3880
angles: 60.00 60.00 60.00
Atoms (fractional coordinates):
Tb 0.0000 0.0000 0.0000
Zr 0.2500 0.2500 0.2500
Pt 0.6249 0.6249 0.1254
Pt 0.6249 0.1254 0.6249
Pt 0.6249 0.6249 0.6249
Pt 0.1254 0.6249 0.6249


[4]
VASP calculation (PBE) on a relaxed structure of Tc2Pt.

Properties
Total magnetization   0.00 μB per formula unit
Space-group type   Pa-3, No. 205
Excess energy over the best structure of this formula in the dataset   0.912 eV per atom
Volume   223.3 Å³/cell

abc: 6.0666 6.0666 6.0666
angles: 90.00 90.00 90.00
Atoms (fractional coordinates):
Tc 0.1037 0.6037 0.8963
Tc 0.1037 0.8963 0.3963
Tc 0.3963 0.1037 0.8963
Tc 0.3963 0.3963 0.3963
Tc 0.6037 0.6037 0.6037
Tc 0.6037 0.8963 0.1037
Tc 0.8963 0.1037 0.6037
Tc 0.8963 0.3963 0.1037
Pt 0.0000 0.0000 0.0000
Pt 0.0000 0.5000 0.5000
Pt 0.5000 0.0000 0.5000
Pt 0.5000 0.5000 0.0000


[5]
VASP calculation (PBE) on a relaxed structure of TcPt4.

Properties
Total magnetization   2.35 μB per formula unit
Space-group type   I4/mmm, No. 139
Excess energy over the best structure of this formula in the dataset   0.564 eV per atom
Volume   87.3 Å³/cell

abc: 7.0837 7.0837 7.0837
angles: 150.26 150.26 42.56
Last column: magnetic moment on the atom in μB.
Atoms (fractional coordinates):
Tc 0.0000 0.0000 0.0000  2.08
Pt 0.7500 0.2500 0.5000  0.00
Pt 0.5961 0.5961 0.0000  0.03
Pt 0.4039 0.4039 0.0000  0.03
Pt 0.2500 0.7500 0.5000  0.00


[6]
VASP calculation (PBE) on a relaxed structure of Tc2Pt.

Properties
Total magnetization   0.00 μB per formula unit
Space-group type   Pnma, No. 62
Excess energy over the best structure of this formula in the dataset   0.058 eV per atom
Volume   178.4 Å³/cell

abc: 5.4853 3.9163 8.3043
angles: 90.00 90.00 90.00
Atoms (fractional coordinates):
Tc 0.1159 0.2500 0.2636
Tc 0.1136 0.2500 0.5807
Tc 0.3864 0.7500 0.0807
Tc 0.3841 0.7500 0.7636
Tc 0.6159 0.2500 0.2364
Tc 0.6136 0.2500 0.9193
Tc 0.8864 0.7500 0.4193
Tc 0.8841 0.7500 0.7364
Pt 0.1232 0.2500 0.9124
Pt 0.3768 0.7500 0.4124
Pt 0.6232 0.2500 0.5876
Pt 0.8768 0.7500 0.0876


[7]
VASP calculation (PBE) on a relaxed structure of TcPt2.

Properties
Total magnetization   0.00 μB per formula unit
Space-group type   Fd-3m, No. 227
Excess energy over the best structure of this formula in the dataset   0.598 eV per atom
Volume   97.1 Å³/cell

abc: 5.1587 5.1587 5.1587
angles: 60.00 60.00 60.00
Atoms (fractional coordinates):
Tc 0.0000 0.0000 0.0000
Tc 0.2500 0.2500 0.2500
Pt 0.6250 0.6250 0.6250
Pt 0.1250 0.6250 0.6250
Pt 0.6250 0.1250 0.6250
Pt 0.6250 0.6250 0.1250


[8]
VASP calculation (PBE) on a relaxed structure of Tc5Pt.

Properties
Total magnetization   0.00 μB per formula unit
Space-group type   Cm, No. 8
Excess energy over the best structure of this formula in the dataset   0.027 eV per atom
Volume   87.9 Å³/cell

abc: 2.7613 5.2019 6.5359
angles: 76.64 90.00 74.61
Atoms (fractional coordinates):
Pt 0.0003 0.9994 0.9997
Tc 0.6121 0.7758 0.7170
Tc 0.3325 0.3349 0.6632
Tc 0.9438 0.1125 0.3903
Tc 0.6669 0.6663 0.3403
Tc 0.2778 0.4444 0.0563


[9]
VASP calculation (PBE) on a relaxed structure of Tc3Pt.

Properties
Total magnetization   0.00 μB per formula unit
Space-group type   Pm-3n, No. 223
Excess energy over the best structure of this formula in the dataset   0.331 eV per atom
Volume   120.0 Å³/cell

abc: 4.9323 4.9323 4.9323
angles: 90.00 90.00 90.00
Atoms (fractional coordinates):
Tc 0.0000 0.2500 0.5000
Tc 0.0000 0.7500 0.5000
Tc 0.2500 0.5000 0.0000
Tc 0.5000 0.0000 0.2500
Tc 0.5000 0.0000 0.7500
Tc 0.7500 0.5000 0.0000
Pt 0.0000 0.0000 0.0000
Pt 0.5000 0.5000 0.5000


[10]
VASP calculation (PBE) on a relaxed structure of TcPt.

Properties
Total magnetization   0.00 μB per formula unit
Space-group type   Pmma, No. 51
Excess energy over the best structure of this formula in the dataset   0.004 eV per atom
Volume   59.8 Å³/cell

abc: 2.7589 4.4483 4.8714
angles: 90.00 90.00 90.00
Atoms (fractional coordinates):
Tc 0.6250 0.5000 0.7788
Tc 0.6250 0.0000 0.4712
Pt 0.1252 0.0000 0.9627
Pt 0.1248 0.5000 0.2873


[11]
VASP calculation (PBE) on a relaxed structure of TcPt2.

Properties
Total magnetization   0.00 μB per formula unit
Space-group type   I4/mmm, No. 139
Excess energy over the best structure of this formula in the dataset   0.000 eV per atom
Volume   45.5 Å³/cell

abc: 6.3008 6.3008 6.3008
angles: 154.73 154.73 36.05
Atoms (fractional coordinates):
Tc 0.3333 0.3333 0.0000
Pt 0.9923 0.9923 0.0000
Pt 0.6743 0.6743 0.0000


[12]
VASP calculation (PBE) on a relaxed structure of Tc3Pt.

Properties
Total magnetization   0.00 μB per formula unit
Space-group type   Cmmm, No. 65
Excess energy over the best structure of this formula in the dataset   0.221 eV per atom
Volume   58.9 Å³/cell

abc: 4.7938 4.7938 2.7291
angles: 90.00 90.00 109.98
Atoms (fractional coordinates):
Pt 0.0000 0.0000 0.0000
Tc 0.0000 0.5000 0.5000
Tc 0.5000 0.0000 0.5000
Tc 0.5000 0.5000 0.0000


[13]
VASP calculation (PBE) on a relaxed structure of TcPt.

Properties
Total magnetization   0.00 μB per formula unit
Space-group type   P4/mmm, No. 123
Excess energy over the best structure of this formula in the dataset   0.064 eV per atom
Volume   59.8 Å³/cell

abc: 3.8386 3.8386 4.0563
angles: 90.00 90.00 90.00
Atoms (fractional coordinates):
Pt 0.2500 0.7500 0.0000
Pt 0.7500 0.2500 0.0000
Tc 0.2500 0.2500 0.5000
Tc 0.7500 0.7500 0.5000


[14]
VASP calculation (PBE) on a relaxed structure of TcPt3.

Properties
Total magnetization   0.00 μB per formula unit
Space-group type   I4/mmm, No. 139
Volume   61.0 Å³/cell

abc: 3.9132 4.8512 3.9132
angles: 66.21 90.00 113.79
Atoms (fractional coordinates):
Tc 0.2500 0.5000 0.2500
Pt 0.0000 0.0000 0.0000
Pt 0.5000 0.0000 0.5000
Pt 0.7500 0.5000 0.7500


[15]
VASP calculation (PBE) on a relaxed structure of TcPt.

Properties
Total magnetization   0.00 μB per formula unit
Space-group type   Pmmn, No. 59
Excess energy over the best structure of this formula in the dataset   0.047 eV per atom
Volume   59.9 Å³/cell

abc: 2.7857 4.4277 4.8588
angles: 90.00 90.00 90.00
Atoms (fractional coordinates):
Tc 0.7500 0.7500 0.5839
Tc 0.2500 0.2500 0.4161
Pt 0.2500 0.7500 0.0908
Pt 0.7500 0.2500 0.9092


[16]
VASP calculation (PBE) on a relaxed structure of Tc3Pt2.

Properties
Total magnetization   0.00 μB per formula unit
Space-group type   R-3m, No. 166
Excess energy over the best structure of this formula in the dataset   0.000 eV per atom
Volume   74.7 Å³/cell

abc: 11.4297 11.4297 11.4297
angles: 13.87 13.87 13.87
Atoms (fractional coordinates):
Tc 0.0000 0.0000 0.0000
Tc 0.8023 0.8023 0.8023
Tc 0.1977 0.1977 0.1977
Pt 0.6005 0.6005 0.6005
Pt 0.3995 0.3995 0.3995


[17]
VASP calculation (PBE) on a relaxed structure of TcPt4.

Properties
Total magnetization   0.00 μB per formula unit
Space-group type   Pm-3m, No. 221
Excess energy over the best structure of this formula in the dataset   1.579 eV per atom
Volume   105.9 Å³/cell

abc: 4.7315 4.7315 4.7315
angles: 90.00 90.00 90.00
Atoms (fractional coordinates):
Tc 0.5000 0.5000 0.5000
Pt 0.0000 0.0000 0.0000
Pt 0.5000 0.0000 0.5000
Pt 0.0000 0.5000 0.5000
Pt 0.5000 0.5000 0.0000


[18]
VASP calculation (PBE) on a relaxed structure of Tc2Pt.

Properties
Total magnetization   0.00 μB per formula unit
Space-group type   Cmcm, No. 63
Excess energy over the best structure of this formula in the dataset   0.035 eV per atom
Volume   88.4 Å³/cell

abc: 2.7509 7.3863 4.4281
angles: 90.00 90.00 79.27
Atoms (fractional coordinates):
Pt 0.3331 0.3337 0.0000
Pt 0.5557 0.8885 0.5000
Tc 0.9999 0.0002 0.0000
Tc 0.2241 0.5518 0.5000
Tc 0.6648 0.6704 0.0000
Tc 0.8890 0.2220 0.5000


[19]
VASP calculation (PBE) on a relaxed structure of Tc3Pt5.

Properties
Total magnetization   0.00 μB per formula unit
Space-group type   Cmmm, No. 65
Excess energy over the best structure of this formula in the dataset   0.050 eV per atom
Volume   121.1 Å³/cell

abc: 5.5839 5.5839 3.8856
angles: 90.00 90.00 91.59
Atoms (fractional coordinates):
Tc 0.5000 0.5000 0.0000
Tc 0.2564 0.2564 0.5000
Tc 0.7436 0.7436 0.5000
Pt 0.0000 0.0000 0.0000
Pt 0.0000 0.5000 0.0000
Pt 0.5000 0.0000 0.0000
Pt 0.7430 0.2570 0.5000
Pt 0.2570 0.7430 0.5000


[20]
VASP calculation (PBE) on a relaxed structure of Tc2Pt.

Properties
Total magnetization   0.00 μB per formula unit
Space-group type   P6_3/mmc, No. 194
Excess energy over the best structure of this formula in the dataset   0.268 eV per atom
Volume   90.5 Å³/cell

abc: 4.3804 4.3804 5.4434
angles: 90.00 90.00 120.00
Atoms (fractional coordinates):
Tc 0.0000 0.0000 0.0000
Tc 0.0000 0.0000 0.5000
Tc 0.3333 0.6667 0.7500
Tc 0.6667 0.3333 0.2500
Pt 0.3333 0.6667 0.2500
Pt 0.6667 0.3333 0.7500


[21]
VASP calculation (PBE) on a relaxed structure of TcPt3.

Properties
Total magnetization   0.04 μB per formula unit
Space-group type   R-3m, No. 166
Volume   62.4 Å³/cell

abc: 2.6937 5.2499 5.2499
angles: 117.14 80.15 80.15
Atoms (fractional coordinates):
Pt 0.0000 0.0000 0.0000
Pt 0.0000 0.5000 0.5000
Pt 0.5000 0.0000 0.5000
Tc 0.5000 0.5000 0.0000


[22]
VASP calculation (PBE) on a relaxed structure of Tc3Pt.

Properties
Total magnetization   0.00 μB per formula unit
Space-group type   I4/mmm, No. 139
Excess energy over the best structure of this formula in the dataset   0.164 eV per atom
Volume   58.8 Å³/cell

abc: 3.9112 4.7382 3.9106
angles: 65.63 90.00 114.38
Atoms (fractional coordinates):
Pt 0.0000 0.0000 0.0000
Tc 0.2500 0.5001 0.2500
Tc 0.5000 0.0000 0.5000
Tc 0.7500 0.4999 0.7500


[23]
VASP calculation (PBE) on a relaxed structure of Tc3Pt.

Properties
Total magnetization   0.00 μB per formula unit
Space-group type   P4/mmm, No. 123
Excess energy over the best structure of this formula in the dataset   0.196 eV per atom
Volume   59.1 Å³/cell

abc: 2.7403 2.7403 7.8699
angles: 90.00 90.00 90.00
Atoms (fractional coordinates):
Pt 0.0000 0.0000 0.0000
Tc 0.0000 0.0000 0.5000
Tc 0.5000 0.5000 0.2591
Tc 0.5000 0.5000 0.7409


DOS at the Fermi energy? In order: 0.71, 0.30, 0.71, 0.27, 0.95, 0.77, 1.01, 1.09, 1.39, 1.00, 0.84, 1.36, 1.21, 0.73, 0.81, 1.29, 0.71, 0.71, 1.25, 1.12, 1.27, 0.91, 0.98 states/eV per atom.
Formation enthalpy at 0 K? In order: -511, -1052, -930, 702, 437, -152, 406, -97, 67, -154, -193, -43, -94, -117, -110, -77, 1452, -175, -78, 58, 187, -100, -68 meV per atom.